No. 1
12
Lattice="-2.343 2.093 -2.474 2.655 -4.311 -6.161 -5.746 -5.554 3.974" Properties=species:S:1:pos:R:3 comment="Dy6GeP2S3 (PBE-GGA, relaxed)" total_magnetization_mub_per_cell=0.00 energy_ev_per_atom=-6.358 density_g_cm3=7.4 formation_energy_uncorrected_ev_per_atom=-1.739 pbc="T T T"
Dy -2.196 -6.938 -3.790
Dy -1.973 -2.971 -3.876
Dy -3.238 -0.833 -0.871
Dy 0.643 -1.092 -1.533
Dy -6.077 -6.680 -3.128
Dy -3.461 -4.801 -0.785
Ge -1.171 1.046 -1.237
P -4.007 -4.821 -3.515
P -1.427 -2.951 -1.145
S 0.156 -1.109 -4.317
S -5.328 -2.677 -0.451
S -0.106 -5.095 -4.210

No. 2
12
Lattice="4.027 0.000 0.000 0.000 8.029 0.309 -2.014 -2.295 8.447" Properties=species:S:1:pos:R:3 comment="Dy6Ge2PS3 (PBE-GGA, relaxed)" total_magnetization_mub_per_cell=0.00 energy_ev_per_atom=-6.156 density_g_cm3=7.5 formation_energy_uncorrected_ev_per_atom=-1.603 pbc="T T T"
Dy 0.000 5.821 5.950
Dy 2.014 3.914 2.986
Dy 2.014 -0.087 2.806
Dy 0.000 1.957 0.098
Dy 2.014 3.777 8.658
Dy 0.000 1.820 5.770
Ge 2.014 3.832 5.839
Ge 0.000 1.903 2.917
P 2.014 0.000 0.000
S 2.014 4.015 0.154
S 2.014 -0.203 5.704
S 0.000 5.937 3.052

No. 3
12
Lattice="-1.198 -1.935 3.231 7.946 -1.264 2.189 -1.951 8.755 2.103" Properties=species:S:1:pos:R:3 comment="Dy6Ge3P2S (PBE-GGA, relaxed)" total_magnetization_mub_per_cell=0.00 energy_ev_per_atom=-5.958 density_g_cm3=7.5 formation_energy_uncorrected_ev_per_atom=-1.257 pbc="T T T"
Dy 5.489 4.085 4.482
Dy 3.100 0.957 4.139
Dy -0.692 1.470 3.041
Dy 1.936 -0.262 0.561
Dy 2.861 5.817 6.962
Dy 1.697 4.599 3.384
Ge 3.374 -1.600 2.710
Ge -0.989 4.024 4.460
Ge 5.786 1.531 3.063
P 3.003 3.394 5.563
P 1.793 2.162 1.960
S -0.599 -0.968 1.615